Entry from Alexandria via LeMat-Bulk: an optimized crystal structure of AcPmSb2 (GGA-PBE).

The uncorrected formation energy is -897 meV/atom. As for the crystal system: cubic. The calculation puts the energy above the most stable polymorph in this dataset at 1.16 eV per formula unit. The value obtained for the magnetization is 0.000 μB per formula unit.

The space group is Fm-3m (No. 225) and the conventional cell measures 7.982, 7.982 and 7.982 Å, with angles of 90.00, 90.00 and 90.00 degrees. The distinct sites, in fractional coordinates, are Ac at (0.000, 0.000, 0.000), Pm at (0.000, 0.000, 0.500) and Sb at (0.250, 0.250, 0.250).